Entry 1:
DFT (PBE-GGA) results for a relaxed structure of Th3Al8Cu3.

Computed properties:
Density, g/cm³: 6.74
Formation energy from the elements, meV/atom: -354
Density of states at the Fermi level, states/eV/atom: 0.401
Total energy, eV per atom: -4.961

Unit cell a=4.338 b=8.416 c=8.264 alpha=72.08 beta=74.79 gamma=75.07
Element x y z (fractional)
1 Al 0.338 0.044 0.280
2 Al 0.499 0.284 0.719
3 Al 0.662 0.956 0.720
4 Al 0.135 0.143 0.586
5 Al 0.501 0.716 0.281
6 Al 0.855 0.415 0.875
7 Al 0.145 0.585 0.125
8 Al 0.865 0.857 0.414
9 Cu 0.663 0.698 0.977
10 Cu 0.000 0.500 0.500
11 Cu 0.337 0.302 0.023
12 Th 0.689 0.317 0.305
13 Th 0.000 0.000 0.000
14 Th 0.311 0.683 0.695

Entry 2:
DFT (PBE-GGA) results for a relaxed structure of ThAl2Cu.

Computed properties:
Density, g/cm³: 7.48
Formation energy from the elements, meV/atom: -176
Density of states at the Fermi level, states/eV/atom: 0.591
Total energy, eV per atom: -4.926

Unit cell a=3.257 b=3.257 c=7.319 alpha=90.00 beta=90.00 gamma=90.00
Element x y z (fractional)
1 Th 0.500 0.500 0.500
2 Al 0.000 0.000 0.814
3 Al 0.000 0.000 0.186
4 Cu 0.500 0.500 0.000

Entry 3:
DFT (PBE-GGA) results for a relaxed structure of Th4Al12Cu.

Computed properties:
Density, g/cm³: 6.20
Formation energy from the elements, meV/atom: -338
Density of states at the Fermi level, states/eV/atom: 0.706
Total energy, eV per atom: -4.966

Unit cell a=7.708 b=7.708 c=7.708 alpha=109.47 beta=109.47 gamma=109.47
Element x y z (fractional)
1 Al 0.750 0.250 0.500
2 Al 0.250 0.500 0.750
3 Al 0.500 0.750 0.250
4 Al 0.301 0.000 0.301
5 Al 0.699 0.000 0.699
6 Al 0.750 0.500 0.250
7 Al 0.301 0.301 0.000
8 Al 0.000 0.301 0.301
9 Al 0.250 0.750 0.500
10 Al 0.000 0.699 0.699
11 Al 0.699 0.699 0.000
12 Al 0.500 0.250 0.750
13 Cu 0.000 0.000 0.000
14 Th 0.000 0.000 0.500
15 Th 0.500 0.000 0.000
16 Th 0.000 0.500 0.000
17 Th 0.500 0.500 0.500

Repeat the first record exactly.
DFT (PBE-GGA) results for a relaxed structure of Th3Al8Cu3.

Computed properties:
Density, g/cm³: 6.74
Formation energy from the elements, meV/atom: -354
Density of states at the Fermi level, states/eV/atom: 0.401
Total energy, eV per atom: -4.961

Unit cell a=4.338 b=8.416 c=8.264 alpha=72.08 beta=74.79 gamma=75.07
Element x y z (fractional)
1 Al 0.338 0.044 0.280
2 Al 0.499 0.284 0.719
3 Al 0.662 0.956 0.720
4 Al 0.135 0.143 0.586
5 Al 0.501 0.716 0.281
6 Al 0.855 0.415 0.875
7 Al 0.145 0.585 0.125
8 Al 0.865 0.857 0.414
9 Cu 0.663 0.698 0.977
10 Cu 0.000 0.500 0.500
11 Cu 0.337 0.302 0.023
12 Th 0.689 0.317 0.305
13 Th 0.000 0.000 0.000
14 Th 0.311 0.683 0.695

Please write out number 2 again, unchanged.
DFT (PBE-GGA) results for a relaxed structure of ThAl2Cu.

Computed properties:
Density, g/cm³: 7.48
Formation energy from the elements, meV/atom: -176
Density of states at the Fermi level, states/eV/atom: 0.591
Total energy, eV per atom: -4.926

Unit cell a=3.257 b=3.257 c=7.319 alpha=90.00 beta=90.00 gamma=90.00
Element x y z (fractional)
1 Th 0.500 0.500 0.500
2 Al 0.000 0.000 0.814
3 Al 0.000 0.000 0.186
4 Cu 0.500 0.500 0.000

Copy entry 1 word for word.
DFT (PBE-GGA) results for a relaxed structure of Th3Al8Cu3.

Computed properties:
Density, g/cm³: 6.74
Formation energy from the elements, meV/atom: -354
Density of states at the Fermi level, states/eV/atom: 0.401
Total energy, eV per atom: -4.961

Unit cell a=4.338 b=8.416 c=8.264 alpha=72.08 beta=74.79 gamma=75.07
Element x y z (fractional)
1 Al 0.338 0.044 0.280
2 Al 0.499 0.284 0.719
3 Al 0.662 0.956 0.720
4 Al 0.135 0.143 0.586
5 Al 0.501 0.716 0.281
6 Al 0.855 0.415 0.875
7 Al 0.145 0.585 0.125
8 Al 0.865 0.857 0.414
9 Cu 0.663 0.698 0.977
10 Cu 0.000 0.500 0.500
11 Cu 0.337 0.302 0.023
12 Th 0.689 0.317 0.305
13 Th 0.000 0.000 0.000
14 Th 0.311 0.683 0.695

Q: Which value of density of states at the Fermi level does entry 2 give?
A: 0.591 states/eV/atom